[1]
Density functional theory data (PBE) for a geometry-optimized TaBeSi2 structure.

The total moment is 0.00 μB per formula unit. The value obtained for the uncorrected formation energy is 0.058 eV per atom. For the density of states at the Fermi level, the calculation gives 0.431 states/eV/atom.

The structure belongs to space group Pmmm (No. 47); the cell edges are 3.576, 3.611 and 4.212 Å and the angles 90.00°, 90.00° and 90.00°. The inequivalent atoms are Ta at (0.000, 0.000, 0.000), Be at (0.500, 0.000, 0.500), Si at (0.000, 0.500, 0.500) and Si at (0.500, 0.500, 0.000).

=====

[2]
Density functional theory data (PBE) for a geometry-optimized Ta2Be3Si structure.

The total moment is 0.00 μB per formula unit. The value obtained for the uncorrected formation energy is -0.374 eV per atom. For the density of states at the Fermi level, the calculation gives 0.094 states/eV/atom.

The structure belongs to space group Fmmm (No. 69); the cell edges are 6.606, 7.116 and 12.330 Å and the angles 90.00°, 90.00° and 90.00°. The inequivalent atoms are Ta at (0.248, 0.000, 0.000), Ta at (0.250, 0.250, 0.250), Be at (0.000, 0.000, 0.162), Be at (0.000, 0.242, 0.081) and Si at (0.000, 0.000, 0.334).

=====

[3]
Density functional theory data (PBE) for a geometry-optimized TaBeSi2 structure.

The total moment is 0.00 μB per formula unit. The value obtained for the uncorrected formation energy is 0.203 eV per atom. For the density of states at the Fermi level, the calculation gives 0.456 states/eV/atom.

The structure belongs to space group Cmmm (No. 65); the cell edges are 3.459, 4.274 and 7.586 Å and the angles 90.00°, 90.00° and 90.00°. The inequivalent atoms are Ta at (0.000, 0.000, 0.000), Be at (0.000, 0.000, 0.500) and Si at (0.000, 0.500, 0.271).

=====

Look up the uncorrected formation energy of the first one.
0.058 eV per atom

=====

Look up the uncorrected formation energy of the first one.
0.058 eV per atom